# 1
Computed, not measured: a geometry-optimized SrTlMo2 structure at the GGA-PBEsol level of DFT.

Unit cell a=3.0180 b=3.0180 c=30.9800 alpha=90.00 beta=90.00 gamma=120.00
Space group R-3m (No. 166, hexagonal axes)
Symmetry-distinct sites (fractional):
Sr  0.0000  0.0000  0.0000 [3 per cell]
Tl  0.0000  0.0000  0.5000 [3 per cell]
Mo  0.0000  0.0000  0.2431 [6 per cell]

Results
DFT total energy: -0.2151 hartree per atom
total magnetic moment: 0.000 μB per formula unit
formation energy from the elements: 1148 meV/atom

=====

# 2
Computed, not measured: a geometry-optimized Ho2InAu2 structure at the GGA-PBEsol level of DFT.

Unit cell a=7.793 b=7.793 c=3.657 alpha=90.00 beta=90.00 gamma=90.00
Space group P4/mbm (No. 127)
Symmetry-distinct sites (fractional):
Ho  0.169  0.331  0.000 [4 per cell]
In  0.000  0.000  0.500 [2 per cell]
Au  0.129  0.629  0.500 [4 per cell]

Results
DFT total energy: -0.1836 hartree per atom
total magnetic moment: 0.000 μB per formula unit
formation energy from the elements: -851 meV/atom

=====

# 3
Computed, not measured: a geometry-optimized CaSc2Ta structure at the GGA-PBEsol level of DFT.

Unit cell a=4.624 b=4.624 c=4.251 alpha=90.00 beta=90.00 gamma=90.00
Space group P4/mmm (No. 123)
Symmetry-distinct sites (fractional):
Ca  0.000  0.000  0.000 [1 per cell]
Sc  0.000  0.500  0.500 [2 per cell]
Ta  0.500  0.500  0.000 [1 per cell]

Results
DFT total energy: -0.2380 hartree per atom
total magnetic moment: 0.000 μB per formula unit
formation energy from the elements: 497 meV/atom

=====

# 4
Computed, not measured: a geometry-optimized MgPb2Br structure at the GGA-PBEsol level of DFT.

Unit cell a=7.558 b=7.558 c=7.558 alpha=90.00 beta=90.00 gamma=90.00
Space group F-43m (No. 216)
Symmetry-distinct sites (fractional):
Mg  0.000  0.000  0.000 [4 per cell]
Pb  0.000  0.000  0.500 [4 per cell]
Pb  0.250  0.250  0.750 [4 per cell]
Br  0.250  0.250  0.250 [4 per cell]

Results
DFT total energy: -0.1116 hartree per atom
ΔE_f (raw): -0.1399 eV/atom
total magnetic moment: 0.000 μB per formula unit

=====

# 5
Computed, not measured: a geometry-optimized As3Ru structure at the GGA-PBEsol level of DFT.

Unit cell a=2.952 b=4.934 c=9.237 alpha=90.00 beta=90.00 gamma=90.00
Space group Cmmm (No. 65)
Symmetry-distinct sites (fractional):
As  0.000  0.000  0.000 [2 per cell]
As  0.000  0.500  0.282 [4 per cell]
Ru  0.000  0.000  0.500 [2 per cell]

Results
DFT total energy: -0.2238 hartree per atom
total magnetic moment: 0.000 μB per formula unit
formation energy from the elements: 284 meV/atom

=====

# 6
Computed, not measured: a geometry-optimized Ni4Os structure at the GGA-PBEsol level of DFT.

Unit cell a=5.612 b=5.612 c=3.505 alpha=90.00 beta=90.00 gamma=90.00
Space group I4/m (No. 87)
Symmetry-distinct sites (fractional):
Ni  0.104  0.300  0.000 [8 per cell]
Os  0.000  0.000  0.500 [2 per cell]

Results
DFT total energy: -0.2695 hartree per atom
total magnetic moment: 0.001 μB per formula unit
formation energy from the elements: 37 meV/atom

=====

# 7
Computed, not measured: a geometry-optimized TcGeIN2 structure at the GGA-PBEsol level of DFT.

Unit cell a=3.935 b=3.935 c=5.258 alpha=90.00 beta=90.00 gamma=90.00
Space group P4/mmm (No. 123)
Symmetry-distinct sites (fractional):
Tc  0.000  0.000  0.000 [1 per cell]
Ge  0.500  0.500  0.000 [1 per cell]
I  0.000  0.000  0.500 [1 per cell]
N  0.000  0.500  0.500 [2 per cell]

Results
DFT total energy: -0.1806 hartree per atom
ΔE_f (raw): 2.0920 eV/atom
total magnetic moment: 2.412 μB per formula unit

=====

# 8
Computed, not measured: a geometry-optimized TiAg3H structure at the GGA-PBEsol level of DFT.

Unit cell a=5.006 b=5.006 c=5.006 alpha=90.00 beta=90.00 gamma=90.00
Space group Pm-3m (No. 221)
Symmetry-distinct sites (fractional):
Ti  0.000  0.000  0.000 [1 per cell]
Ag  0.000  0.000  0.500 [3 per cell]
H  0.500  0.500  0.500 [1 per cell]

Results
DFT total energy: -0.0958 hartree per atom
total magnetic moment: 2.443 μB per formula unit